10
Lattice="4.219 0.000 0.000 0.000 4.219 0.000 0.000 0.000 10.530" Properties=species:S:1:pos:R:3 comment="Pm2HfSi4Pt3, relaxed, DFT PBE" raw_formation_energy_ev_per_atom=-1.03 crystal_system=tetragonal sg="P-4m2 (115)" dft_energy_ev_per_cell=-69.61 mass_density_g_cm3=10.330 pbc="T T T"
Si 2.110 0.000 6.872
Si 0.000 0.000 0.000
Si 0.000 2.110 3.659
Si 2.110 2.110 0.000
Hf 2.110 2.110 5.265
Pt 0.000 2.110 1.212
Pt 0.000 0.000 5.265
Pt 2.110 0.000 9.319
Pm 0.000 2.110 8.043
Pm 2.110 0.000 2.488